VASP calculation (PBE-GGA) on TaNbAs2Br after structural relaxation.

Lattice parameters (Å, degrees): 5.0107 5.0107 5.0002 90.00 90.00 90.00
Fractional positions:
Ta1 0.0000 0.0000 0.0000
Nb1 0.5000 0.5000 0.5000
As1 0.0000 0.5000 0.5000
As2 0.5000 0.0000 0.5000
Br1 0.5000 0.5000 0.0000

Uncorrected formation energy: 5.0 eV/f.u.
Crystal system: tetragonal
Calculated volume: 125.5 Å³/cell
Total magnetization: 3.1 μB per formula unit
DOS at the Fermi energy: 5.47 states/eV/f.u.

***

VASP calculation (PBE-GGA) on TaNbAsBr2 after structural relaxation.

Lattice parameters (Å, degrees): 5.0501 5.0501 5.1471 90.00 90.00 90.00
Fractional positions:
Ta1 0.0000 0.0000 0.0000
Nb1 0.5000 0.5000 0.5000
As1 0.0000 0.0000 0.5000
Br1 0.0000 0.5000 0.0000
Br2 0.5000 0.0000 0.0000

Uncorrected formation energy: 4.1 eV/f.u.
Crystal system: tetragonal
Calculated volume: 131.3 Å³/cell
Total magnetization: 4.1 μB per formula unit
DOS at the Fermi energy: 7.68 states/eV/f.u.

***

VASP calculation (PBE-GGA) on TaNbAs2Br after structural relaxation.

Lattice parameters (Å, degrees): 5.0057 5.0057 5.0359 90.00 90.00 90.00
Fractional positions:
Ta1 0.0000 0.0000 0.0000
Nb1 0.5000 0.5000 0.5000
As1 0.0000 0.5000 0.0000
As2 0.5000 0.0000 0.0000
Br1 0.0000 0.0000 0.5000

Uncorrected formation energy: 3.9 eV/f.u.
Crystal system: tetragonal
Calculated volume: 126.2 Å³/cell
Total magnetization: 3.2 μB per formula unit
DOS at the Fermi energy: 6.09 states/eV/f.u.

***

VASP calculation (PBE-GGA) on NbTcAsBr2 after structural relaxation.

Lattice parameters (Å, degrees): 5.1253 5.1253 5.1540 90.00 90.00 90.00
Fractional positions:
Nb1 0.0000 0.0000 0.0000
Tc1 0.5000 0.5000 0.5000
As1 0.0000 0.0000 0.5000
Br1 0.0000 0.5000 0.0000
Br2 0.5000 0.0000 0.0000

Uncorrected formation energy: 4.2 eV/f.u.
Crystal system: tetragonal
Calculated volume: 135.4 Å³/cell
Total magnetization: 5.1 μB per formula unit
DOS at the Fermi energy: 5.64 states/eV/f.u.

***

VASP calculation (PBE-GGA) on NbTcAs2Br after structural relaxation.

Lattice parameters (Å, degrees): 4.7174 4.7174 5.3081 90.00 90.00 90.00
Fractional positions:
Nb1 0.0000 0.0000 0.0000
Tc1 0.5000 0.5000 0.5000
As1 0.0000 0.5000 0.5000
As2 0.5000 0.0000 0.5000
Br1 0.5000 0.5000 0.0000

Uncorrected formation energy: 4.3 eV/f.u.
Crystal system: tetragonal
Calculated volume: 118.1 Å³/cell
Total magnetization: 3.5 μB per formula unit
DOS at the Fermi energy: 4.74 states/eV/f.u.

***

VASP calculation (PBE-GGA) on NbTcAsBr2 after structural relaxation.

Lattice parameters (Å, degrees): 5.0107 5.0107 4.8128 90.00 90.00 90.00
Fractional positions:
Nb1 0.0000 0.0000 0.0000
Tc1 0.5000 0.5000 0.5000
As1 0.5000 0.5000 0.0000
Br1 0.0000 0.5000 0.5000
Br2 0.5000 0.0000 0.5000

Uncorrected formation energy: 5.6 eV/f.u.
Crystal system: tetragonal
Calculated volume: 120.8 Å³/cell
Total magnetization: 0.9 μB per formula unit
DOS at the Fermi energy: 9.69 states/eV/f.u.